Record 1
FePd6Au | GGA-PBE | relaxed

Results
Energy above the most stable polymorph in this dataset = 0 meV/atom

Cell: 3.952 3.952 7.867 Å, 90.00 90.00 90.00°
Each line ends with the local moment (μB).
Fractional coordinates of all 8 atoms:
Pd 0.500 0.000 0.738  0.19
Pd 0.500 0.500 0.500  0.25
Pd 0.500 0.500 0.000  0.12
Pd 0.500 0.000 0.262  0.19
Pd 0.000 0.500 0.738  0.19
Pd 0.000 0.500 0.262  0.19
Au 0.000 0.000 0.000  -0.02
Fe 0.000 0.000 0.500  3.27



Record 2
Fe6Pd8Au | GGA-PBE | relaxed

Cell: 2.767 9.695 9.695 Å, 120.00 90.00 90.00°
Each line ends with the local moment (μB).
Fractional coordinates of all 15 atoms:
Fe 0.744 0.390 0.910  2.96
Fe 0.256 0.910 0.520  2.96
Fe 0.744 0.520 0.610  2.96
Fe 0.256 0.610 0.090  2.96
Fe 0.256 0.480 0.390  2.96
Fe 0.744 0.090 0.480  2.96
Pd 0.770 0.086 0.776  0.27
Pd 0.244 0.333 0.667  0.39
Pd 0.230 0.776 0.690  0.27
Pd 0.770 0.224 0.310  0.27
Pd 0.230 0.914 0.224  0.27
Pd 0.230 0.310 0.086  0.27
Pd 0.756 0.667 0.333  0.39
Pd 0.770 0.690 0.914  0.27
Au 0.500 0.000 0.000  0.03



Record 3
FePd7Au4 | GGA-PBE | relaxed

Cell: 4.773 9.333 5.430 Å, 75.73 63.92 75.18°
Each line ends with the local moment (μB).
Fractional coordinates of all 12 atoms:
Au 0.138 0.382 0.341  0.01
Au 0.622 0.227 0.530  0.03
Au 0.862 0.618 0.659  0.01
Au 0.378 0.773 0.470  0.03
Pd 0.500 0.000 0.000  0.32
Pd 0.103 0.718 0.076  0.22
Pd 0.792 0.921 0.495  0.20
Pd 0.369 0.471 0.791  0.07
Pd 0.897 0.282 0.924  0.22
Pd 0.208 0.079 0.505  0.20
Pd 0.631 0.529 0.209  0.07
Fe 0.000 0.000 0.000  3.32



Record 4
FePd4Au2 | GGA-PBE | relaxed

Results
Energy above the most stable polymorph in this dataset = 0 meV/atom

Cell: 3.961 5.472 5.472 Å, 85.54 90.00 90.00°
Each line ends with the local moment (μB).
Fractional coordinates of all 7 atoms:
Au 0.000 0.802 0.198  0.03
Au 0.000 0.198 0.802  0.03
Pd 0.000 0.707 0.707  0.23
Pd 0.000 0.293 0.293  0.23
Pd 0.500 0.500 0.000  0.15
Pd 0.500 0.000 0.500  0.15
Fe 0.500 0.500 0.500  3.31



Record-wise E values, in eV/atom: -5.4443 -6.2826 -4.6908 -5.0663